# 1
VASP calculation (PBE-GGA) on LaMnFe2As after structural relaxation.

Lattice parameters (Å, degrees): 4.5437 5.5216 4.5437 90.00 90.00 90.00
Site moments in Bohr magnetons follow the coordinates.
Element x y z (fractional)
1 Fe 0.5000 0.0000 0.0000  2.01
2 Fe 0.0000 0.0000 0.5000  1.94
3 As 0.0000 0.5000 0.0000  0.01
4 La 0.0000 0.0000 0.0000  -0.17
5 Mn 0.5000 0.5000 0.5000  -0.07

***

# 2
VASP calculation (PBE-GGA) on Pr2Y7Tm4 after structural relaxation.

Lattice parameters (Å, degrees): 6.0985 6.0985 13.2998 90.00 90.00 120.00
Element x y z (fractional)
1 Y 0.0000 0.6457 0.7799
2 Y 0.6457 0.6457 0.2201
3 Y 0.0000 0.0000 0.0000
4 Y 0.6457 0.0000 0.7799
5 Y 0.3543 0.3543 0.7799
6 Y 0.0000 0.3543 0.2201
7 Y 0.3543 0.0000 0.2201
8 Tm 0.0000 0.0000 0.6041
9 Tm 0.0000 0.0000 0.3959
10 Tm 0.3333 0.6667 0.5000
11 Tm 0.6667 0.3333 0.5000
12 Pr 0.3333 0.6667 0.0000
13 Pr 0.6667 0.3333 0.0000

***

# 3
VASP calculation (PBE-GGA) on Zn12Ga2Pd5 after structural relaxation.

Lattice parameters (Å, degrees): 5.2294 7.5168 8.8103 97.94 90.00 110.36
Element x y z (fractional)
1 Pd 0.3734 0.7468 0.1143
2 Pd 0.0000 0.0000 0.5000
3 Pd 0.6266 0.2532 0.8857
4 Pd 0.7003 0.4006 0.3928
5 Pd 0.2997 0.5994 0.6072
6 Zn 0.1079 0.7104 0.3645
7 Zn 0.1496 0.2992 0.3585
8 Zn 0.8504 0.7008 0.6415
9 Zn 0.5455 0.5902 0.8732
10 Zn 0.4545 0.4098 0.1268
11 Zn 0.4814 0.9629 0.6616
12 Zn 0.6024 0.7104 0.3645
13 Zn 0.8921 0.2896 0.6355
14 Zn 0.3976 0.2896 0.6355
15 Zn 0.0446 0.5902 0.8732
16 Zn 0.5186 0.0371 0.3384
17 Zn 0.9554 0.4098 0.1268
18 Ga 0.2413 0.0000 0.0000
19 Ga 0.7587 0.0000 0.0000

***

Number 1: E_form 2.010 eV per atom. Number 2: E_form 0.203 eV per atom. Number 3: E_form -0.218 eV per atom.